[1]
Here is a geometry-optimized Nd7PdBr12 structure from Alexandria. Energies are from PBE.

Total moment (μB per formula unit): 0.29
Formation energy from raw total energies (meV/atom): -1595.4

Lattice parameters (Å, degrees): 15.4339 15.4339 10.2535 90.00 90.00 120.00
Space group R-3 (No. 148, hexagonal axes)
Unique sites:
Nd (0.0000, 0.0000, 0.0000)
Nd (0.0434, 0.8766, 0.3407)
Pd (0.0000, 0.0000, 0.5000)
Br (0.0268, 0.4407, 0.1609)
Br (0.0479, 0.8671, 0.8442)

***

[2]
Here is a geometry-optimized NiAg3 structure from Alexandria. Energies are from PBE.

Total moment (μB per formula unit): 0.00
VASP energy (eV per cell): -13.41

Lattice parameters (Å, degrees): 4.6647 4.6647 2.9987 90.00 90.00 90.00
Space group P4/mmm (No. 123)
Unique sites:
Ni (0.0000, 0.0000, 0.0000)
Ag (0.0000, 0.5000, 0.5000)
Ag (0.5000, 0.5000, 0.0000)

***

[3]
Here is a geometry-optimized CaAcY2Se4 structure from Alexandria. Energies are from PBE.

Total moment (μB per formula unit): 0.00
Formation energy from raw total energies (meV/atom): -1827.3

Lattice parameters (Å, degrees): 7.3169 4.1829 7.3306 90.00 108.98 90.00
Space group P2/m (No. 10)
Unique sites:
Ca (0.0000, 0.0000, 0.0000)
Ac (0.5000, 0.5000, 0.0000)
Y (0.0000, 0.5000, 0.5000)
Y (0.5000, 0.0000, 0.5000)
Se (0.2330, 0.0000, 0.7315)
Se (0.2445, 0.5000, 0.2618)

***

no.,density of states at the Fermi level (states/eV/atom)
1,0.401
2,0.327
3,0.425